(1)
Compound: LiHoCu2
Source: Alexandria
Functional: GGA-PBE
Structure: optimized geometry

Spin magnetization in μB/f.u.: 0.00
Energy above the most stable polymorph in this dataset in eV per formula unit: 0.37
Crystal system: tetragonal
Formation enthalpy at 0 K in meV per atom: -35

Lattice parameters (Å, degrees): 3.323 4.634 4.634 90.00 90.00 90.00
Sites, in units of the cell vectors:
Ho 0.500 0.000 0.000
Cu 0.000 0.000 0.500
Cu 0.000 0.500 0.000
Li 0.500 0.500 0.500

***

(2)
Compound: LiHoCu2
Source: Alexandria
Functional: GGA-PBE
Structure: optimized geometry

Spin magnetization in μB/f.u.: 0.00
Energy above the most stable polymorph in this dataset in eV per formula unit: 0.15
Crystal system: cubic
Formation enthalpy at 0 K in meV per atom: -90

Lattice parameters (Å, degrees): 4.630 4.630 4.630 60.00 60.00 60.00
Sites, in units of the cell vectors:
Ho 0.000 0.000 0.000
Cu 0.250 0.250 0.250
Cu 0.750 0.750 0.750
Li 0.500 0.500 0.500

***

(3)
Compound: LiHo5Cu4
Source: Alexandria
Functional: GGA-PBE
Structure: optimized geometry

Spin magnetization in μB/f.u.: 0.00
Crystal system: tetragonal
Formation enthalpy at 0 K in meV per atom: -190

Lattice parameters (Å, degrees): 3.470 3.470 17.702 90.00 90.00 90.00
Sites, in units of the cell vectors:
Li 0.000 0.000 0.000
Ho 0.500 0.500 0.112
Ho 0.500 0.500 0.305
Ho 0.500 0.500 0.500
Ho 0.500 0.500 0.695
Ho 0.500 0.500 0.888
Cu 0.000 0.000 0.204
Cu 0.000 0.000 0.403
Cu 0.000 0.000 0.597
Cu 0.000 0.000 0.796

***

(4)
Compound: Li2Ho2Cu15
Source: Alexandria
Functional: GGA-PBE
Structure: optimized geometry

Spin magnetization in μB/f.u.: 0.00
Crystal system: trigonal
Formation enthalpy at 0 K in meV per atom: -146

Lattice parameters (Å, degrees): 6.481 6.481 6.481 82.45 82.45 82.45
Sites, in units of the cell vectors:
Li 0.094 0.094 0.094
Li 0.906 0.906 0.906
Ho 0.346 0.346 0.346
Ho 0.654 0.654 0.654
Cu 0.500 0.000 0.000
Cu 0.000 0.000 0.500
Cu 0.000 0.500 0.000
Cu 0.000 0.695 0.305
Cu 0.695 0.305 0.000
Cu 0.305 0.000 0.695
Cu 0.305 0.695 0.000
Cu 0.695 0.000 0.305
Cu 0.000 0.305 0.695
Cu 0.159 0.655 0.655
Cu 0.655 0.655 0.159
Cu 0.655 0.159 0.655
Cu 0.841 0.345 0.345
Cu 0.345 0.345 0.841
Cu 0.345 0.841 0.345

***

(5)
Compound: LiHoCu4
Source: Alexandria
Functional: GGA-PBE
Structure: optimized geometry

Spin magnetization in μB/f.u.: 0.00
Crystal system: cubic
Formation enthalpy at 0 K in meV per atom: -183

Lattice parameters (Å, degrees): 5.044 5.044 5.044 60.00 60.00 60.00
Sites, in units of the cell vectors:
Ho 0.250 0.250 0.250
Cu 0.626 0.626 0.121
Cu 0.626 0.121 0.626
Cu 0.626 0.626 0.626
Cu 0.121 0.626 0.626
Li 0.000 0.000 0.000

***

(6)
Compound: LiHo4Cu3
Source: Alexandria
Functional: GGA-PBE
Structure: optimized geometry

Spin magnetization in μB/f.u.: 0.00
Crystal system: trigonal
Formation enthalpy at 0 K in meV per atom: -169

Lattice parameters (Å, degrees): 4.933 4.933 8.566 73.27 73.27 60.00
Sites, in units of the cell vectors:
Ho 0.871 0.871 0.387
Ho 0.379 0.379 0.862
Ho 0.129 0.129 0.613
Ho 0.621 0.621 0.138
Cu 0.256 0.256 0.232
Cu 0.744 0.744 0.768
Cu 0.500 0.500 0.500
Li 0.000 0.000 0.000

***

no.,electronic total energy (Ry per atom)
1,-0.2724
2,-0.2764
3,-0.3167
4,-0.2987
5,-0.2936
6,-0.3112